# Li2AlHgRu | Alexandria via LeMat-Bulk | PBE | relaxed
# Density (g cm⁻³): 5.67
# D(E_F) (states/eV/cell): 2.9
# Calculated total energy (eV/atom): -2.626
# Total moment (μB per formula unit): 1.3
data_Li2AlHgRu
_symmetry_space_group_name_H-M 'P 4/m m m'
_symmetry_Int_Tables_number 123
_symmetry_space_group_name_Hall '-P 4 2'
_cell_length_a 4.5044
_cell_length_b 4.5044
_cell_length_c 4.9409
_cell_angle_alpha 90.00
_cell_angle_beta 90.00
_cell_angle_gamma 90.00
loop_
_atom_site_label
_atom_site_fract_x
_atom_site_fract_y
_atom_site_fract_z
Li1 0.0000 0.5000 0.0000
Al1 0.0000 0.0000 0.5000
Hg1 0.0000 0.0000 0.0000
Ru1 0.5000 0.5000 0.5000